# 1
4
Lattice="-1.741 2.026 6.923 1.741 -2.026 6.923 1.741 2.026 -6.923" Properties=species:S:1:pos:R:3 comment="ScNiCl2 (PBE, optimized geometry)" dft_energy_ev_per_cell=-19.269 rho_g_cm3=2.97 m_tot_mub_per_atom=0.00 formation_energy_uncorrected_ev_per_atom=-0.87 pbc="T T T"
Sc 0.000 0.000 0.000
Ni 0.000 0.000 6.923
Cl 1.741 0.000 1.828
Cl 0.000 2.026 5.096

---

# 2
4
Lattice="0.000 3.288 3.288 3.288 0.000 3.288 3.288 3.288 0.000" Properties=species:S:1:pos:R:3 comment="Sc2NiCl (PBE, optimized geometry)" dft_energy_ev_per_cell=-21.755 rho_g_cm3=4.30 m_tot_mub_per_atom=0.22 formation_energy_uncorrected_ev_per_atom=-0.37 pbc="T T T"
Sc 1.644 1.644 1.644
Sc 4.932 4.932 4.932
Ni 0.000 0.000 0.000
Cl 3.288 3.288 3.288

---

Q: What is the formula in the first record?
A: ScNiCl2

---

Q: Which formula does entry 2 have?
A: Sc2NiCl